No. 1
Compound: CdHSe2F
Source: Alexandria via LeMat-Bulk
Functional: PBE
Structure: optimized geometry

Unit cell a=3.8975 b=5.6242 c=3.8975 alpha=90.00 beta=90.00 gamma=90.00
Closest atoms and distances in Å follow each position.
Atoms (fractional coordinates):
H 0.0000 0.0000 0.0000  4 Se 1.95
F 0.5000 0.5000 0.5000  4 Cd 2.76
Cd 0.0000 0.5000 0.0000  4 F 2.76, 2 H 2.81
Se 0.5000 0.0000 0.0000  2 H 1.95
Se 0.0000 0.0000 0.5000  2 H 1.95

Results
Symmetry = P4/mmm, No. 123
D(E_F) = 0.3418 states/eV/atom
Theoretical density = 5.6 g cm⁻³
E = -2.711 eV per atom
V = 17.09 Å³/atom

***

No. 2
Compound: CdSnH2F8
Source: Alexandria via LeMat-Bulk
Functional: PBE
Structure: optimized geometry

Unit cell a=4.9006 b=4.9649 c=6.8969 alpha=97.35 beta=90.02 gamma=75.73
Closest atoms and distances in Å follow each position.
Atoms (fractional coordinates):
F 0.3012 0.2919 0.5522  1 H 1.00
F 0.7429 0.7615 0.0045  1 Sn 1.93
F 0.2082 0.7407 0.7507  1 H 1.43
F 0.2117 0.8021 0.2170  1 Sn 2.04, 1 Cd 2.20
F 0.2571 0.2385 0.9955  1 Sn 1.93
F 0.7883 0.1979 0.7830  1 Sn 2.04, 1 Cd 2.20
F 0.7918 0.2593 0.2493  1 H 1.43
F 0.6988 0.7081 0.4478  1 H 1.00
H 0.7295 0.5434 0.3432  1 F 1.00
H 0.2705 0.4566 0.6568  1 F 1.00
Cd 0.0000 0.0000 0.5000  6 F 2.20-2.37
Sn 0.0000 0.0000 0.0000  6 F 1.93-2.11

Results
Symmetry = P-1, No. 2
D(E_F) = 0.0000 states/eV/atom
Theoretical density = 4.0 g cm⁻³
E = -4.268 eV per atom
V = 13.43 Å³/atom

***

No. 3
Compound: CdTeH2F
Source: Alexandria via LeMat-Bulk
Functional: PBE
Structure: optimized geometry

Unit cell a=4.3769 b=4.4037 c=4.3769 alpha=90.00 beta=90.00 gamma=90.00
Closest atoms and distances in Å follow each position.
Atoms (fractional coordinates):
Cd 0.5000 0.5000 0.5000  4 Te 3.09, 8 H 3.10
H 0.5000 0.0000 0.0000  2 F 2.19
H 0.0000 0.0000 0.5000  2 F 2.19
Te 0.0000 0.5000 0.0000  2 F 2.20
F 0.0000 0.0000 0.0000  4 H 2.19, 2 Te 2.20

Results
Symmetry = P4/mmm, No. 123
D(E_F) = 0.1567 states/eV/atom
Theoretical density = 5.1 g cm⁻³
E = -2.113 eV per atom
V = 16.87 Å³/atom

***

No. 4
Compound: ZnCdH2F8
Source: Alexandria via LeMat-Bulk
Functional: PBE
Structure: optimized geometry

Unit cell a=4.6579 b=4.8633 c=7.1696 alpha=90.01 beta=90.01 gamma=62.20
Closest atoms and distances in Å follow each position.
Atoms (fractional coordinates):
F 0.7556 0.2903 0.2316  1 H 1.15
F 0.7086 0.8094 0.0001  1 F 1.96, 1 Zn 1.97
F 0.2914 0.1906 0.9999  1 F 1.96, 1 Zn 1.97
F 0.3263 0.2194 0.4997  1 F 1.99
F 0.6737 0.7806 0.5003  1 F 1.99
F 0.7556 0.2901 0.7684  1 H 1.15
F 0.2444 0.7099 0.2316  1 H 1.15
F 0.2444 0.7097 0.7684  1 H 1.15
H 0.5001 0.5000 0.2300  2 F 1.15
H 0.4999 0.5000 0.7700  2 F 1.15
Zn 0.0000 0.0000 0.0000  6 F 1.97-2.13
Cd 0.0000 0.0000 0.5000  6 F 2.23-2.34

Results
Symmetry = P2/m, No. 10
Theoretical density = 3.8 g cm⁻³
E = -3.552 eV per atom
V = 11.97 Å³/atom